DyMg9Cd2, optimized geometry, DFT GGA-PBE; ΔE_f = -50.8 kJ/mol of formula units
1.0
-6.044 6.044 3.845
6.044 -6.044 3.845
6.044 6.044 -3.845
Dy Mg Cd
2 18 4
direct
0.375 0.625 0.750
0.625 0.375 0.250
0.125 0.875 0.250
0.126 0.555 0.329
0.126 0.797 0.571
0.203 0.274 0.329
0.203 0.874 0.929
0.274 0.203 0.829
0.274 0.445 0.071
0.445 0.274 0.571
0.445 0.874 0.171
0.555 0.126 0.829
0.555 0.726 0.429
0.726 0.555 0.929
0.726 0.797 0.171
0.797 0.126 0.071
0.797 0.726 0.671
0.874 0.203 0.429
0.874 0.445 0.671
0.875 0.125 0.750
0.000 0.000 0.000
0.000 0.000 0.500
0.000 0.500 0.000
0.500 0.000 0.500

=====

DyMg7Cd5, optimized geometry, DFT GGA-PBE; ΔE_f = -149.1 kJ/mol of formula units
1.0
-2.949 4.999 4.984
2.949 -4.999 4.984
2.949 4.999 -4.984
Dy Mg Cd
1 7 5
direct
0.000 0.000 0.000
0.207 0.495 0.712
0.212 0.712 0.500
0.348 0.998 0.350
0.350 0.350 0.000
0.649 0.998 0.650
0.651 0.651 0.000
0.784 0.495 0.288
0.491 0.494 0.496
0.491 0.995 0.997
0.793 0.293 0.500
0.998 0.494 0.003
0.998 0.995 0.504

=====

DyMg2Cd3, optimized geometry, DFT GGA-PBE; offset from the most stable computed form = 0.00 eV/f.u.; ΔE_f = -117.4 kJ/mol of formula units
1.0
4.917 0.000 0.000
-2.458 4.258 0.000
0.000 0.000 13.273
Dy Mg Cd
2 4 6
direct
0.000 0.000 0.250
0.000 0.000 0.750
0.333 0.667 0.100
0.333 0.667 0.400
0.667 0.333 0.600
0.667 0.333 0.900
0.000 0.000 0.000
0.000 0.000 0.500
0.333 0.667 0.636
0.333 0.667 0.864
0.667 0.333 0.136
0.667 0.333 0.364

=====

DyMgCd5, optimized geometry, DFT GGA-PBE; ΔE_f = -46.5 kJ/mol of formula units
1.0
4.489 0.000 0.000
0.000 4.489 0.000
0.000 0.000 8.788
Dy Mg Cd
1 1 5
direct
0.000 0.000 0.000
0.500 0.500 0.500
0.000 0.500 0.271
0.000 0.500 0.729
0.500 0.000 0.271
0.500 0.000 0.729
0.500 0.500 0.000

=====

Dy4Mg2Cd, optimized geometry, DFT GGA-PBE; ΔE_f = 24.7 kJ/mol of formula units
1.0
-3.725 3.725 3.734
3.725 -3.725 3.734
3.725 3.725 -3.734
Dy Mg Cd
4 2 1
direct
0.000 0.000 0.500
0.000 0.500 0.000
0.500 0.000 0.000
0.500 0.500 0.500
0.000 0.500 0.500
0.500 0.000 0.500
0.000 0.000 0.000

=====

Dy4MgCd5, optimized geometry, DFT GGA-PBE; ΔE_f = -271.9 kJ/mol of formula units
1.0
3.697 0.000 0.000
0.000 3.697 0.000
0.000 0.000 18.475
Dy Mg Cd
4 1 5
direct
0.000 0.000 0.103
0.000 0.000 0.308
0.000 0.000 0.692
0.000 0.000 0.897
0.000 0.000 0.500
0.500 0.500 0.000
0.500 0.500 0.205
0.500 0.500 0.412
0.500 0.500 0.588
0.500 0.500 0.795

=====

DyMg3Cd3, optimized geometry, DFT GGA-PBE; offset from the most stable computed form = 4.34 eV/f.u.; ΔE_f = 319.6 kJ/mol of formula units
1.0
7.525 0.000 0.000
0.000 7.525 0.000
0.000 0.000 7.525
Dy Mg Cd
2 6 6
direct
0.000 0.000 0.000
0.500 0.500 0.500
0.000 0.250 0.500
0.000 0.750 0.500
0.250 0.500 0.000
0.500 0.000 0.250
0.500 0.000 0.750
0.750 0.500 0.000
0.000 0.500 0.250
0.000 0.500 0.750
0.250 0.000 0.500
0.500 0.250 0.000
0.500 0.750 0.000
0.750 0.000 0.500

=====

Dy3MgCd12, optimized geometry, DFT GGA-PBE; ΔE_f = -324.5 kJ/mol of formula units
1.0
4.595 0.000 0.000
0.000 4.595 0.000
0.000 0.000 17.848
Dy Mg Cd
3 1 12
direct
0.000 0.000 0.000
0.000 0.000 0.261
0.000 0.000 0.739
0.000 0.000 0.500
0.000 0.500 0.129
0.000 0.500 0.385
0.000 0.500 0.615
0.000 0.500 0.871
0.500 0.000 0.129
0.500 0.000 0.385
0.500 0.000 0.615
0.500 0.000 0.871
0.500 0.500 0.000
0.500 0.500 0.261
0.500 0.500 0.500
0.500 0.500 0.739

=====

Dy3Mg2Cd7, optimized geometry, DFT GGA-PBE; offset from the most stable computed form = 0.00 eV/f.u.; ΔE_f = -170.9 kJ/mol of formula units
1.0
4.913 0.000 0.000
0.000 3.837 0.000
-2.353 0.000 15.807
Dy Mg Cd
3 2 7
direct
0.000 0.000 0.000
0.312 0.500 0.629
0.688 0.500 0.371
0.145 0.000 0.283
0.855 0.000 0.717
0.079 0.500 0.151
0.229 0.000 0.456
0.407 0.000 0.825
0.500 0.500 0.000
0.593 0.000 0.175
0.771 0.000 0.544
0.921 0.500 0.849

=====

Dy3Mg6Cd2, optimized geometry, DFT GGA-PBE; ΔE_f = 39.6 kJ/mol of formula units
1.0
-2.092 2.092 16.924
2.092 -2.092 16.924
2.092 2.092 -16.924
Dy Mg Cd
3 6 2
direct
0.000 0.000 0.000
0.168 0.168 0.000
0.832 0.832 0.000
0.079 0.579 0.500
0.271 0.271 0.000
0.421 0.921 0.500
0.579 0.079 0.500
0.729 0.729 0.000
0.921 0.421 0.500
0.359 0.359 0.000
0.641 0.641 0.000

=====

DyMg4Cd8, optimized geometry, DFT GGA-PBE; ΔE_f = -180.6 kJ/mol of formula units
1.0
-4.903 4.903 3.026
4.903 -4.903 3.026
4.903 4.903 -3.026
Dy Mg Cd
1 4 8
direct
0.000 0.000 0.000
0.000 0.000 0.500
0.000 0.500 0.000
0.500 0.000 0.000
0.500 0.500 0.500
0.000 0.345 0.345
0.000 0.655 0.655
0.285 0.500 0.785
0.345 0.000 0.345
0.500 0.285 0.785
0.500 0.715 0.215
0.655 0.000 0.655
0.715 0.500 0.215

=====

DyMg4Cd5, optimized geometry, DFT GGA-PBE; ΔE_f = -148.4 kJ/mol of formula units
1.0
3.617 0.000 0.000
0.000 3.617 0.000
0.000 0.000 17.144
Dy Mg Cd
1 4 5
direct
0.000 0.000 0.000
0.000 0.000 0.212
0.000 0.000 0.404
0.000 0.000 0.596
0.000 0.000 0.788
0.500 0.500 0.116
0.500 0.500 0.309
0.500 0.500 0.500
0.500 0.500 0.691
0.500 0.500 0.884

=====

Dy3Mg2Cd2, optimized geometry, DFT GGA-PBE; ΔE_f = -94.9 kJ/mol of formula units
1.0
5.453 -2.520 0.000
5.453 2.520 0.000
-0.338 0.000 6.657
Dy Mg Cd
3 2 2
direct
0.000 0.000 0.000
0.391 0.391 0.301
0.609 0.609 0.699
0.304 0.304 0.815
0.696 0.696 0.185
0.122 0.122 0.431
0.878 0.878 0.569

=====

Dy8Mg2Cd, optimized geometry, DFT GGA-PBE; ΔE_f = -72.6 kJ/mol of formula units
1.0
8.120 -2.684 0.000
8.120 2.684 0.000
-4.371 0.000 7.314
Dy Mg Cd
8 2 1
direct
0.066 0.066 0.221
0.135 0.135 0.680
0.318 0.318 0.557
0.409 0.409 0.048
0.591 0.591 0.952
0.682 0.682 0.443
0.865 0.865 0.320
0.934 0.934 0.779
0.229 0.229 0.117
0.771 0.771 0.883
0.500 0.500 0.500

=====

DyMgCd14, optimized geometry, DFT GGA-PBE; ΔE_f = -108.8 kJ/mol of formula units
1.0
6.520 0.000 0.000
0.000 6.520 0.000
0.000 0.000 8.604
Dy Mg Cd
1 1 14
direct
0.000 0.000 0.000
0.500 0.500 0.000
0.000 0.000 0.500
0.000 0.500 0.000
0.000 0.500 0.500
0.253 0.253 0.254
0.253 0.253 0.746
0.253 0.747 0.254
0.253 0.747 0.746
0.500 0.000 0.000
0.500 0.000 0.500
0.500 0.500 0.500
0.747 0.253 0.254
0.747 0.253 0.746
0.747 0.747 0.254
0.747 0.747 0.746

=====

DyMgCd, optimized geometry, DFT GGA-PBE; ΔE_f = -62.0 kJ/mol of formula units
1.0
5.048 0.000 0.000
-2.524 4.372 0.000
0.000 0.000 3.387
Dy Mg Cd
1 1 1
direct
0.000 0.000 0.000
0.333 0.667 0.499
0.667 0.333 0.501

=====

Dy3MgCd4, optimized geometry, DFT GGA-PBE; ΔE_f = -233.7 kJ/mol of formula units
1.0
5.137 0.000 0.000
0.000 5.137 0.000
0.000 0.000 7.558
Dy Mg Cd
3 1 4
direct
0.000 0.000 0.000
0.000 0.000 0.500
0.500 0.500 0.000
0.500 0.500 0.500
0.000 0.500 0.262
0.000 0.500 0.738
0.500 0.000 0.262
0.500 0.000 0.738

=====

DyMgCd6, optimized geometry, DFT GGA-PBE; offset from the most stable computed form = 0.00 eV/f.u.; ΔE_f = -129.9 kJ/mol of formula units
1.0
4.852 0.000 0.000
0.000 3.616 5.262
0.000 -3.616 5.262
Dy Mg Cd
1 1 6
direct
0.000 0.000 0.000
0.500 0.248 0.248
0.000 0.439 0.439
0.000 0.510 0.935
0.000 0.935 0.510
0.500 0.316 0.743
0.500 0.743 0.316
0.500 0.806 0.806

=====

Dy3Mg4Cd4, optimized geometry, DFT GGA-PBE; offset from the most stable computed form = 0.50 eV/f.u.; ΔE_f = -183.7 kJ/mol of formula units
1.0
-2.291 3.869 7.726
2.291 -3.869 7.726
2.291 3.869 -7.726
Dy Mg Cd
3 4 4
direct
0.000 0.000 0.000
0.382 0.882 0.500
0.618 0.118 0.500
0.020 0.327 0.694
0.367 0.673 0.694
0.633 0.327 0.306
0.980 0.673 0.306
0.222 0.222 0.000
0.307 0.500 0.807
0.693 0.500 0.193
0.778 0.778 0.000

=====

DyMg2Cd2, optimized geometry, DFT GGA-PBE; offset from the most stable computed form = 0.00 eV/f.u.; ΔE_f = -86.2 kJ/mol of formula units
1.0
4.292 -2.476 0.000
4.292 2.476 0.000
-2.851 0.000 5.646
Dy Mg Cd
1 2 2
direct
0.000 0.000 0.000
0.208 0.208 0.623
0.792 0.792 0.377
0.411 0.411 0.235
0.589 0.589 0.765